Below is an optimized crystal structure of ErSiRh, with properties calculated at the PBE level.

* energy relative to the elements, uncorrected: -1.076 eV per atom
* symmetry: Pnma (62)
* ρ: 9.29 g/cm3

Geometry as POSCAR:
```
ErSiRh
1.0
4.226 0.000 0.000
0.000 6.847 0.000
0.000 0.000 7.367
Er Rh Si
4 4 4
direct
0.750 0.000 0.189
0.250 0.500 0.689
0.250 0.000 0.811
0.750 0.500 0.311
0.250 0.655 0.068
0.250 0.155 0.432
0.750 0.345 0.932
0.750 0.845 0.568
0.750 0.706 0.894
0.250 0.794 0.394
0.750 0.206 0.606
0.250 0.294 0.106
```

=====

Below is an optimized crystal structure of Bi3PtPb, with properties calculated at the PBE level.

* DFT total energy: -4.3621 eV per atom
* symmetry: C2/m (12)
* ρ: 11.55 g/cm3

Geometry as POSCAR:
```
Bi3PtPb
1.0
4.109 0.000 0.000
-2.055 11.517 -1.362
0.000 -0.642 6.328
Bi Pt Pb
6 2 2
direct
0.850 0.701 0.366
0.150 0.299 0.634
0.983 0.966 0.733
0.608 0.217 0.045
0.017 0.034 0.267
0.392 0.783 0.955
0.437 0.873 0.408
0.563 0.127 0.592
0.219 0.437 0.178
0.781 0.563 0.822
```

=====

Below is an optimized crystal structure of CaAcTb2, with properties calculated at the PBE level.

* DFT total energy: -3.6363 eV per atom
* symmetry: R-3m (166)
* ρ: 6.43 g/cm3

Geometry as POSCAR:
```
CaAcTb2
1.0
-0.174 -2.022 3.058
-1.426 -3.380 -0.114
11.190 -6.659 -1.564
Ac Tb Ca
1 2 1
direct
0.500 0.500 0.500
0.089 0.089 0.732
0.911 0.911 0.268
0.000 0.000 0.000
```

=====

Below is an optimized crystal structure of LiTb2ZnO5, with properties calculated at the PBE level.

* energy relative to the elements, uncorrected: -2.476 eV per atom
* symmetry: Cmc2_1 (36)
* ρ: 7.51 g/cm3

Geometry as POSCAR:
```
LiTb2ZnO5
1.0
3.330 0.000 0.000
-1.665 6.586 0.000
0.000 0.000 9.485
O Zn Tb Li
10 2 4 2
direct
0.366 0.732 0.002
0.287 0.574 0.672
0.945 0.890 0.569
0.504 0.007 0.274
0.681 0.363 0.852
0.713 0.426 0.172
0.634 0.268 0.502
0.496 0.993 0.774
0.055 0.110 0.069
0.319 0.637 0.352
0.456 0.913 0.470
0.544 0.087 0.970
0.139 0.277 0.296
0.884 0.769 0.184
0.116 0.231 0.684
0.861 0.723 0.796
0.212 0.424 0.004
0.788 0.576 0.504
```

=====

Below is an optimized crystal structure of HfHgI2N, with properties calculated at the PBE level.

* energy relative to the elements, uncorrected: -0.215 eV per atom
* symmetry: P4/mmm (123)
* ρ: 7.50 g/cm3

Geometry as POSCAR:
```
HfHgI2N
1.0
5.982 0.000 0.000
0.000 5.982 0.000
0.000 0.000 4.004
I N Hf Hg
2 1 1 1
direct
0.500 0.000 0.000
0.000 0.500 0.000
0.000 0.000 0.500
0.000 0.000 0.000
0.500 0.500 0.500
```

=====

Below is an optimized crystal structure of ZrTe2Br, with properties calculated at the PBE level.

* energy relative to the elements, uncorrected: -0.570 eV per atom
* symmetry: Imm2 (44)
* ρ: 5.05 g/cm3

Geometry as POSCAR:
```
ZrTe2Br
1.0
-0.534 5.410 -6.411
-1.280 -0.775 -8.271
-1.641 -0.505 8.228
Zr Te Br
1 2 1
direct
0.485 0.485 0.000
0.649 0.149 0.500
0.020 0.020 0.000
0.345 0.845 0.500
```

=====

Q: Which of these has the lowest ρ?
A: ZrTe2Br

=====

Please write out number 5 again, unchanged.
Below is an optimized crystal structure of HfHgI2N, with properties calculated at the PBE level.

* energy relative to the elements, uncorrected: -0.215 eV per atom
* symmetry: P4/mmm (123)
* ρ: 7.50 g/cm3

Geometry as POSCAR:
```
HfHgI2N
1.0
5.982 0.000 0.000
0.000 5.982 0.000
0.000 0.000 4.004
I N Hf Hg
2 1 1 1
direct
0.500 0.000 0.000
0.000 0.500 0.000
0.000 0.000 0.500
0.000 0.000 0.000
0.500 0.500 0.500
```